ErSn3 (PBE, optimized geometry); E = -35.737 eV/cell; calculated formation energy = -324 meV per atom; calculated volume = 26.30 A^3/atom
1.0
3.728 0.000 0.000
0.000 10.575 0.000
0.000 0.000 5.336
Er Sn
2 6
direct
0.000 0.000 0.000
0.500 0.500 0.500
0.000 0.249 0.381
0.000 0.500 0.990
0.000 0.751 0.381
0.500 0.000 0.490
0.500 0.251 0.881
0.500 0.749 0.881